Record 1
Below is YCrIn2 after structural relaxation, with properties calculated at the GGA-PBE level.

The structure belongs to space group F-43m (No. 216); the cell edges are 7.233, 7.233 and 7.233 Å and the angles 90.00°, 90.00° and 90.00°. The distinct sites, in fractional coordinates, are Y at (0.000, 0.000, 0.000), Cr at (0.250, 0.250, 0.750), In at (0.000, 0.000, 0.500) and In at (0.250, 0.250, 0.250).

The calculation puts the formation energy at 0.117 eV/atom.

=====

Record 2
Below is YSiAgO4 after structural relaxation, with properties calculated at the GGA-PBE level.

The structure belongs to space group P2_1/m (No. 11); the cell edges are 5.827, 6.121 and 6.720 Å and the angles 90.00°, 102.33° and 90.00°. The distinct sites, in fractional coordinates, are Y at (0.191, 0.250, 0.037), Si at (0.278, 0.750, 0.850), Ag at (0.450, 0.750, 0.389), O at (0.096, 0.542, 0.835), O at (0.461, 0.750, 0.077) and O at (0.475, 0.750, 0.707).

The value obtained for the uncorrected formation energy is -17.11 eV/f.u.